Density functional theory data (PBE) for a relaxed La2NdY7 crystal.

Formation energy from the elements (meV per atom): 25
Space-group type: C2/m, No. 12
Energy above the lowest structure with this stoichiometry (meV/atom): 0

Unit cell a=5.129 b=8.859 c=10.794 alpha=122.55 beta=103.75 gamma=54.64
Fractional coordinates of all 10 atoms:
Y (0.701, 0.898, 0.197)
Y (0.099, 0.702, 0.602)
La (0.597, 0.204, 0.602)
Nd (0.000, 0.000, 0.000)
Y (0.797, 0.604, 0.801)
Y (0.203, 0.396, 0.199)
Y (0.901, 0.298, 0.398)
Y (0.500, 0.500, 0.000)
La (0.403, 0.796, 0.398)
Y (0.299, 0.102, 0.803)



Density functional theory data (PBE) for a relaxed Cd2GaI2 crystal.

Space-group type: P4/mbm, No. 127
Energy above the lowest structure with this stoichiometry (meV/atom): 68
Formation energy (no corrections) (meV per atom): -38

Unit cell a=9.345 b=9.345 c=4.133 alpha=90.00 beta=90.00 gamma=90.00
Fractional coordinates of all 10 atoms:
Cd (0.603, 0.897, 0.500)
Cd (0.897, 0.397, 0.500)
Cd (0.397, 0.103, 0.500)
Ga (0.000, 0.000, 0.000)
I (0.233, 0.267, 0.000)
I (0.733, 0.233, 0.000)
I (0.767, 0.733, 0.000)
Cd (0.103, 0.603, 0.500)
I (0.267, 0.767, 0.000)
Ga (0.500, 0.500, 0.000)



Density functional theory data (PBE) for a relaxed KCu3Pd crystal.

Formation energy from the elements (meV per atom): 1739
Space-group type: Pm-3m, No. 221
Energy above the lowest structure with this stoichiometry (meV/atom): 1260

Unit cell a=4.759 b=4.759 c=4.759 alpha=90.00 beta=90.00 gamma=90.00
Fractional coordinates of all 5 atoms:
Pd (0.500, 0.500, 0.500)
K (0.000, 0.000, 0.000)
Cu (0.000, 0.500, 0.000)
Cu (0.000, 0.000, 0.500)
Cu (0.500, 0.000, 0.000)



Density functional theory data (PBE) for a relaxed KY crystal.

Formation energy from the elements (meV per atom): 490
Space-group type: Cm, No. 8

Unit cell a=9.007 b=9.007 c=8.728 alpha=75.99 beta=75.99 gamma=23.40
Fractional coordinates of all 6 atoms:
K (0.999, 0.999, 0.981)
Y (0.300, 0.300, 0.948)
Y (0.904, 0.904, 0.614)
K (0.678, 0.678, 0.674)
K (0.610, 0.610, 0.287)
Y (0.341, 0.341, 0.331)



Density functional theory data (PBE) for a relaxed ThCoNi crystal.

Formation energy from the elements (meV per atom): -34
Space-group type: I4mm, No. 107

Unit cell a=3.562 b=3.562 c=4.817 alpha=111.70 beta=111.70 gamma=90.00
Fractional coordinates of all 3 atoms:
Th (0.617, 0.617, 0.234)
Co (0.285, 0.285, 0.569)
Ni (0.949, 0.949, 0.897)



Density functional theory data (PBE) for a relaxed V2GaN crystal.

Space-group type: C2/m, No. 12
Formation energy (no corrections) (meV per atom): -710

Unit cell a=2.938 b=2.934 c=6.651 alpha=102.33 beta=90.00 gamma=120.05
Fractional coordinates of all 4 atoms:
N (0.500, 0.000, 0.000)
Ga (0.000, 0.000, 0.500)
V (0.219, 0.438, 0.164)
V (0.781, 0.562, 0.836)



Density functional theory data (PBE) for a relaxed Al2InRu crystal.

Formation energy from the elements (meV per atom): -261
Space-group type: P4/mmm, No. 123

Unit cell a=3.041 b=3.041 c=7.663 alpha=90.00 beta=90.00 gamma=90.00
Fractional coordinates of all 4 atoms:
Ru (0.500, 0.500, 0.750)
Al (0.000, 0.000, 0.933)
In (0.500, 0.500, 0.250)
Al (0.000, 0.000, 0.567)



Density functional theory data (PBE) for a relaxed ScAg2BiH crystal.

DFT total energy (Ry per atom): -0.2947
Space-group type: P4/mmm, No. 123

Unit cell a=4.387 b=4.387 c=4.563 alpha=90.00 beta=90.00 gamma=90.00
Fractional coordinates of all 5 atoms:
Ag (0.500, 0.000, 0.000)
Sc (0.000, 0.000, 0.500)
Bi (0.500, 0.500, 0.500)
H (0.000, 0.000, 0.000)
Ag (0.000, 0.500, 0.000)



| no. | V (Å³/cell) |
| --- | --- |
| 1 | 335.2 |
| 2 | 361.0 |
| 3 | 107.8 |
| 4 | 272.5 |
| 5 | 52.1 |
| 6 | 48.1 |
| 7 | 70.8 |
| 8 | 87.8 |